Entry 1
The following is a PBE-GGA calculation of a geometry-optimized Mn3N2 structure, from Alexandria via LeMat-Bulk.

a b c (Å): 3.0399 3.0399 5.9038
angles (deg): 90.00 90.00 120.00
Last column: nearest neighbours and their distance in Å.
Atoms (fractional coordinates):
Mn 0.0000 0.0000 0.0000  6 N 2.25
Mn 0.3333 0.6667 0.6672  3 N 1.84
Mn 0.6667 0.3333 0.3328  3 N 1.84
N 0.3333 0.6667 0.2382  3 Mn 1.84
N 0.6667 0.3333 0.7618  3 Mn 1.84

## Properties
Space group ... P-3m1
Size of the total moment ... 2.2 Bohr magnetons per cell


Entry 2
The following is a PBE-GGA calculation of a geometry-optimized Mn3N2 structure, from Alexandria via LeMat-Bulk.

a b c (Å): 6.3385 6.3385 6.3385
angles (deg): 153.89 153.89 37.26
Last column: nearest neighbours and their distance in Å.
Atoms (fractional coordinates):
Mn 0.0000 0.0000 0.0000  2 N 1.92
Mn 0.3311 0.3311 0.0000  5 N 2.03-2.06
Mn 0.6689 0.6689 0.0000  5 N 2.03-2.06
N 0.1599 0.1599 0.0000  6 Mn 1.92-2.06
N 0.8401 0.8401 0.0000  6 Mn 1.92-2.06

## Properties
Space group ... I4/mmm
Size of the total moment ... 8.2 Bohr magnetons per cell


Entry 3
The following is a PBE-GGA calculation of a geometry-optimized Mn3N2 structure, from Alexandria via LeMat-Bulk.

a b c (Å): 5.3338 5.3338 5.3338
angles (deg): 53.90 53.90 53.90
Last column: nearest neighbours and their distance in Å.
Atoms (fractional coordinates):
Mn 0.0706 0.7500 0.4294  4 N 1.91-2.02
Mn 0.2500 0.5706 0.9294  4 N 1.91-2.02
Mn 0.4294 0.0706 0.7500  4 N 1.91-2.02
Mn 0.5706 0.9294 0.2500  4 N 1.91-2.02
Mn 0.7500 0.4294 0.0706  4 N 1.91-2.02
Mn 0.9294 0.2500 0.5706  4 N 1.91-2.02
N 0.1547 0.1547 0.1547  6 Mn 1.91-2.02
N 0.3453 0.3453 0.3453  6 Mn 1.91-2.02
N 0.6547 0.6547 0.6547  6 Mn 1.91-2.02
N 0.8453 0.8453 0.8453  6 Mn 1.91-2.02

## Properties
Space group ... R-3c
Size of the total moment ... 9.7 Bohr magnetons per cell


Which structure is most stable? entry 3, by 27 meV per atom over the runner-up.